An optimized crystal structure of MoAsOF2. Source: the Alexandria database, functional GGA+U.

**Calculated density**: 4.9 g/cm3
**Distance to the lowest polymorph of the same formula**: 0.0 meV per atom
**Crystal system**: tetragonal

Cell: 4.1975 4.1975 4.2917 Å, 90.00 90.00 90.00°
With the nearest neighbours (Å) after each atom.
Space group P4/mmm (No. 123)
One atom of each set of equivalent atoms:
Mo (0.0000, 0.0000, 0.0000) x1  4 F 2.10, 2 O 2.15
As (0.5000, 0.5000, 0.5000) x1  4 O 2.97, 8 F 3.00
O (0.0000, 0.0000, 0.5000) x1  2 Mo 2.15
F (0.0000, 0.5000, 0.0000) x2  2 Mo 2.10